Material: Ac4Nd2Sb3N2
Method: DFT, PBE-GGA
State: optimized geometry

Computed properties:
Raw formation energy: -1.016 eV/atom
Total moment: 0.000 μB/cell
E_tot: -0.22106 hartree per atom

Unit cell a=5.0426 b=5.0426 c=26.9481 alpha=90.00 beta=90.00 gamma=90.00
Closest atoms and distances in Å follow each position.
Space group I4/mmm (No. 139)
One atom of each set of equivalent atoms:
Ac (0.0000, 0.5000, 0.0847)  2 N 2.62
Nd (0.0000, 0.0000, 0.1951)  1 N 2.28
Sb (0.0000, 0.0000, 0.3190)  5 Nd 3.34-3.59, 4 Ac 3.62
Sb (0.0000, 0.0000, 0.5000)  8 Ac 3.40
N (0.0000, 0.0000, 0.1107)  1 Nd 2.28

---

Material: Sn2TeS
Method: DFT, PBE-GGA
State: optimized geometry

Computed properties:
Raw formation energy: -0.101 eV/atom
Total moment: 0.000 μB/cell
E_tot: -0.14406 hartree per atom

Unit cell a=6.5906 b=6.5906 c=14.5227 alpha=90.00 beta=90.00 gamma=90.00
Closest atoms and distances in Å follow each position.
Space group I-42d (No. 122)
One atom of each set of equivalent atoms:
Sn (0.2060, 0.2500, 0.1250)  2 S 2.80, 2 Te 3.12
Te (0.0000, 0.0000, 0.5000)  4 Sn 3.12
S (0.0000, 0.0000, 0.0000)  4 Sn 2.80

---

Material: AcMnPd4
Method: DFT, PBE-GGA
State: optimized geometry

Computed properties:
Total moment: 19.962 μB/cell
E_tot: -0.22359 hartree per atom
Energy relative to the elements: -0.409 eV/atom

Unit cell a=7.7415 b=7.7415 c=7.7415 alpha=90.00 beta=90.00 gamma=90.00
Closest atoms and distances in Å follow each position.
Space group F-43m (No. 216)
One atom of each set of equivalent atoms:
Ac (0.0000, 0.0000, 0.0000)  12 Pd 3.21, 4 Mn 3.35
Mn (0.2500, 0.2500, 0.7500)  12 Pd 3.21, 4 Ac 3.35
Pd (0.1241, 0.1241, 0.3759)  6 Pd 2.72-2.76

---

Material: Ca5NdTe6
Method: DFT, PBE-GGA
State: optimized geometry

Computed properties:
Raw formation energy: -1.592 eV/atom
Total moment: 0.000 μB/cell
E_tot: -0.16148 hartree per atom

Unit cell a=7.8119 b=13.5253 c=7.8163 alpha=90.00 beta=109.48 gamma=90.00
Closest atoms and distances in Å follow each position.
Space group C2/m (No. 12)
One atom of each set of equivalent atoms:
Ca (0.0000, 0.0000, 0.0000)  6 Te 3.18-3.19
Ca (0.0000, 0.1669, 0.5000)  6 Te 3.19
Ca (0.0000, 0.3337, 0.0000)  6 Te 3.18-3.19
Nd (0.0000, 0.5000, 0.5000)  6 Te 3.20
Te (0.2493, 0.0000, 0.7506)  5 Ca 3.18-3.19, 1 Nd 3.20
Te (0.2492, 0.1670, 0.2493)  5 Ca 3.18-3.19, 1 Nd 3.20

---

Material: Ba2Li2Hg
Method: DFT, PBE-GGA
State: optimized geometry

Computed properties:
Total moment: 0.000 μB/cell
E_tot: -0.06561 hartree per atom
Energy relative to the elements: -0.190 eV/atom

Unit cell a=5.1932 b=5.9808 c=11.0369 alpha=90.00 beta=90.00 gamma=90.00
Closest atoms and distances in Å follow each position.
Space group Immm (No. 71)
One atom of each set of equivalent atoms:
Ba (0.0000, 0.0000, 0.1895)  2 Hg 3.65, 6 Li 3.70
Li (0.0000, 0.2332, 0.5000)  1 Li 2.79, 2 Hg 2.95
Hg (0.0000, 0.5000, 0.0000)  4 Li 2.95

---

Material: TmHS
Method: DFT, PBE-GGA
State: optimized geometry

Computed properties:
Total moment: 0.000 μB/cell
E_tot: -0.18345 hartree per atom

Unit cell a=3.6294 b=3.6294 c=7.4058 alpha=90.00 beta=90.00 gamma=90.00
Closest atoms and distances in Å follow each position.
Space group I4mm (No. 107)
One atom of each set of equivalent atoms:
Tm (0.0000, 0.0000, 0.0000)  1 H 2.10
H (0.0000, 0.0000, 0.2839)  1 Tm 2.10
S (0.0000, 0.0000, 0.6301)  5 H 2.56-2.81, 5 Tm 2.74